Material: Sr3ScC
Method: DFT, PBE
State: optimized geometry

Cell lengths 5.5405, 5.5405, 5.5405 Å; angles 90.00, 90.00, 90.00 degrees
Last column: nearest neighbours and their distance in Å.
Fractional coordinates of all 5 atoms:
Sr: 0.0000 0.0000 0.5000  2 C 2.77
Sr: 0.0000 0.5000 0.0000  2 C 2.77
Sr: 0.5000 0.0000 0.0000  2 C 2.77
Sc: 0.5000 0.5000 0.5000  12 Sr 3.92
C: 0.0000 0.0000 0.0000  6 Sr 2.77

ΔE_f in eV per atom: 0.601
Offset from the most stable computed form in meV/atom: 0
Size of the total moment in μB per formula unit: 0.84